VASP calculation (SCAN) on a PBEsol-optimized structure of MoOsCl2.

Output
Theoretical density: 9804 kg/m³
Raw total energy: -29.745 eV per atom
Uncorrected formation energy: 90 kJ/mol of atoms
D(E_F): 5.22 states/eV/cell

a b c (Å): 4.945 4.945 4.947
angles (deg): 90.00 90.00 90.00
Space group I-4m2 (No. 119)
Unique sites:
Mo: 0.000 0.000 0.000 [2 per cell]
Os: 0.000 0.500 0.750 [2 per cell]
Cl: 0.000 0.000 0.500 [2 per cell]
Cl: 0.000 0.500 0.250 [2 per cell]



VASP calculation (SCAN) on a PBEsol-optimized structure of Sc2MoOsCl.

Output
Theoretical density: 6369 kg/m³
Raw total energy: -27.552 eV per atom
Uncorrected formation energy: 105 kJ/mol of atoms
D(E_F): 4.07 states/eV/cell

a b c (Å): 5.003 5.003 4.287
angles (deg): 90.00 90.00 90.00
Space group P4/mmm (No. 123)
Unique sites:
Sc: 0.000 0.500 0.000 [2 per cell]
Mo: 0.000 0.000 0.000 [1 per cell]
Os: 0.500 0.500 0.500 [1 per cell]
Cl: 0.000 0.000 0.500 [1 per cell]



VASP calculation (SCAN) on a PBEsol-optimized structure of MoPCl2.

Output
Theoretical density: 3966 kg/m³
Raw total energy: -14.985 eV per atom
Uncorrected formation energy: 31 kJ/mol of atoms
D(E_F): 4.53 states/eV/cell

a b c (Å): 2.832 5.367 10.899
angles (deg): 90.00 90.00 90.00
Space group Cmmm (No. 65)
Unique sites:
Mo: 0.000 0.000 0.000 [2 per cell]
P: 0.000 0.000 0.500 [2 per cell]
Cl: 0.000 0.500 0.177 [4 per cell]



VASP calculation (SCAN) on a PBEsol-optimized structure of MoP2Cl.

Output
Theoretical density: 5283 kg/m³
Raw total energy: -15.282 eV per atom
Uncorrected formation energy: 61 kJ/mol of atoms
D(E_F): 5.53 states/eV/cell

a b c (Å): 4.613 8.368 3.149
angles (deg): 90.00 90.00 90.00
Space group Cmmm (No. 65)
Unique sites:
Mo: 0.000 0.000 0.000 [2 per cell]
P: 0.250 0.250 0.500 [4 per cell]
Cl: 0.000 0.500 0.000 [2 per cell]



VASP calculation (SCAN) on a PBEsol-optimized structure of MoP2Cl.

Output
Theoretical density: 5606 kg/m³
Raw total energy: -15.278 eV per atom
Uncorrected formation energy: 61 kJ/mol of atoms
D(E_F): 3.43 states/eV/cell

a b c (Å): 3.925 3.925 7.434
angles (deg): 90.00 90.00 90.00
Space group I4/mmm (No. 139)
Unique sites:
Mo: 0.000 0.000 0.000 [2 per cell]
P: 0.000 0.500 0.250 [4 per cell]
Cl: 0.000 0.000 0.500 [2 per cell]



VASP calculation (SCAN) on a PBEsol-optimized structure of MoP2Cl.

Output
Theoretical density: 4415 kg/m³
Raw total energy: -16.078 eV per atom
Uncorrected formation energy: -16 kJ/mol of atoms
D(E_F): 3.89 states/eV/cell

a b c (Å): 3.169 3.348 13.705
angles (deg): 90.00 90.00 90.00
Space group Imm2 (No. 44)
Unique sites:
Mo: 0.000 0.000 0.000 [2 per cell]
P: 0.000 0.000 0.443 [2 per cell]
P: 0.000 0.500 0.338 [2 per cell]
Cl: 0.000 0.500 0.641 [2 per cell]



VASP calculation (SCAN) on a PBEsol-optimized structure of MoP2Cl.

Output
Theoretical density: 5444 kg/m³
Raw total energy: -15.019 eV per atom
Uncorrected formation energy: 86 kJ/mol of atoms
D(E_F): 12.80 states/eV/cell

a b c (Å): 6.179 6.179 6.179
angles (deg): 90.00 90.00 90.00
Space group Fm-3m (No. 225)
Unique sites:
Mo: 0.000 0.000 0.000 [4 per cell]
P: 0.250 0.250 0.250 [8 per cell]
Cl: 0.000 0.000 0.500 [4 per cell]



VASP calculation (SCAN) on a PBEsol-optimized structure of MoPRuCl2.

Output
Theoretical density: 4941 kg/m³
Raw total energy: -18.422 eV per atom
Uncorrected formation energy: 76 kJ/mol of atoms
D(E_F): 3.01 states/eV/cell

a b c (Å): 4.566 4.566 4.817
angles (deg): 90.00 90.00 90.00
Space group P4/mmm (No. 123)
Unique sites:
Mo: 0.000 0.000 0.000 [1 per cell]
P: 0.000 0.000 0.500 [1 per cell]
Ru: 0.500 0.500 0.500 [1 per cell]
Cl: 0.000 0.500 0.000 [2 per cell]